# 1
# Nb2TcHPd, relaxed, DFT PBE
# Offset from the most stable computed form = 21 meV/atom
data_Nb2TcHPd
_chemical_formula_sum 'Nb2 Tc1 H1 Pd1'
_symmetry_space_group_name_H-M 'P 4/m m m'
_symmetry_Int_Tables_number 123
_symmetry_space_group_name_Hall '-P 4 2'
_cell_length_a 4.192
_cell_length_b 4.192
_cell_length_c 3.862
_cell_angle_alpha 90.00
_cell_angle_beta 90.00
_cell_angle_gamma 90.00
loop_
_atom_site_label
_atom_site_type_symbol
_atom_site_fract_x
_atom_site_fract_y
_atom_site_fract_z
Nb1 Nb 0.000 0.500 0.000
Tc1 Tc 0.000 0.000 0.500
H1 H 0.500 0.500 0.000
Pd1 Pd 0.500 0.500 0.500



# 2
# TiNb2HPd, relaxed, DFT PBE
# Offset from the most stable computed form = 0 meV/atom
data_TiNb2HPd
_chemical_formula_sum 'Ti1 Nb2 H1 Pd1'
_symmetry_space_group_name_H-M 'P 4/m m m'
_symmetry_Int_Tables_number 123
_symmetry_space_group_name_Hall '-P 4 2'
_cell_length_a 4.019
_cell_length_b 4.019
_cell_length_c 4.372
_cell_angle_alpha 90.00
_cell_angle_beta 90.00
_cell_angle_gamma 90.00
loop_
_atom_site_label
_atom_site_type_symbol
_atom_site_fract_x
_atom_site_fract_y
_atom_site_fract_z
Ti1 Ti 0.000 0.000 0.000
Nb1 Nb 0.000 0.500 0.500
H1 H 0.000 0.000 0.500
Pd1 Pd 0.500 0.500 0.000



# 3
# TiNb2HPd, relaxed, DFT PBE
# Offset from the most stable computed form = 30 meV/atom
data_TiNb2HPd
_chemical_formula_sum 'Ti1 Nb2 H1 Pd1'
_symmetry_space_group_name_H-M 'P 4/m m m'
_symmetry_Int_Tables_number 123
_symmetry_space_group_name_Hall '-P 4 2'
_cell_length_a 3.957
_cell_length_b 3.957
_cell_length_c 4.537
_cell_angle_alpha 90.00
_cell_angle_beta 90.00
_cell_angle_gamma 90.00
loop_
_atom_site_label
_atom_site_type_symbol
_atom_site_fract_x
_atom_site_fract_y
_atom_site_fract_z
Ti1 Ti 0.000 0.000 0.000
Nb1 Nb 0.000 0.500 0.500
H1 H 0.500 0.500 0.500
Pd1 Pd 0.500 0.500 0.000



# 4
# NbVHPd2, relaxed, DFT PBE
# DFT total energy = -33.57 eV/cell
data_NbVHPd2
_chemical_formula_sum 'Nb1 V1 H1 Pd2'
_symmetry_space_group_name_H-M 'P 4/m m m'
_symmetry_Int_Tables_number 123
_symmetry_space_group_name_Hall '-P 4 2'
_cell_length_a 3.889
_cell_length_b 3.889
_cell_length_c 4.212
_cell_angle_alpha 90.00
_cell_angle_beta 90.00
_cell_angle_gamma 90.00
loop_
_atom_site_label
_atom_site_type_symbol
_atom_site_fract_x
_atom_site_fract_y
_atom_site_fract_z
Nb1 Nb 0.000 0.000 0.000
V1 V 0.500 0.500 0.000
H1 H 0.500 0.500 0.500
Pd1 Pd 0.000 0.500 0.500



# 5
# Zr2NbHPd, relaxed, DFT PBE
# Offset from the most stable computed form = 42 meV/atom
data_Zr2NbHPd
_chemical_formula_sum 'Zr2 Nb1 H1 Pd1'
_symmetry_space_group_name_H-M 'P 4/m m m'
_symmetry_Int_Tables_number 123
_symmetry_space_group_name_Hall '-P 4 2'
_cell_length_a 4.699
_cell_length_b 4.699
_cell_length_c 3.628
_cell_angle_alpha 90.00
_cell_angle_beta 90.00
_cell_angle_gamma 90.00
loop_
_atom_site_label
_atom_site_type_symbol
_atom_site_fract_x
_atom_site_fract_y
_atom_site_fract_z
Zr1 Zr 0.000 0.500 0.000
Nb1 Nb 0.000 0.000 0.500
H1 H 0.500 0.500 0.000
Pd1 Pd 0.500 0.500 0.500



# 6
# Zr2NbHPd, relaxed, DFT PBE
# Offset from the most stable computed form = 0 meV/atom
data_Zr2NbHPd
_chemical_formula_sum 'Zr2 Nb1 H1 Pd1'
_symmetry_space_group_name_H-M 'P 4/m m m'
_symmetry_Int_Tables_number 123
_symmetry_space_group_name_Hall '-P 4 2'
_cell_length_a 4.651
_cell_length_b 4.651
_cell_length_c 3.719
_cell_angle_alpha 90.00
_cell_angle_beta 90.00
_cell_angle_gamma 90.00
loop_
_atom_site_label
_atom_site_type_symbol
_atom_site_fract_x
_atom_site_fract_y
_atom_site_fract_z
Zr1 Zr 0.000 0.500 0.000
Nb1 Nb 0.000 0.000 0.500
H1 H 0.000 0.000 0.000
Pd1 Pd 0.500 0.500 0.500



It is found that the total moment values, taken in the order of the records, are 0.00, 0.00, 0.00, 0.00, 0.00, 0.00 Bohr magnetons per cell.